(1)
CdTcW2: PBEsol geometry, meta-GGA SCAN.

The structure belongs to space group R3m (No. 160, hexagonal axes); the cell edges are 2.8244, 2.8244 and 28.1039 Å and the angles 90.00°, 90.00° and 120.00°. The asymmetric unit holds Cd at (0.0000, 0.0000, 0.0000), Tc at (0.0000, 0.0000, 0.7537), W at (0.0000, 0.0000, 0.2432) and W at (0.0000, 0.0000, 0.4938).

The formation energy is 42.0 kJ/mol of atoms. The crystal system is trigonal. The volume comes out at 16.180 Å³/atom.

---

(2)
CdTcW2: PBEsol geometry, meta-GGA SCAN.

The structure belongs to space group P4/mmm (No. 123); the cell edges are 3.917, 3.917 and 4.099 Å and the angles 90.00°, 90.00° and 90.00°. The asymmetric unit holds Cd at (0.000, 0.000, 0.000), Tc at (0.500, 0.500, 0.000) and W at (0.000, 0.500, 0.500).

The formation energy is 50.8 kJ/mol of atoms. The crystal system is tetragonal. The volume comes out at 15.725 Å³/atom.

---

(3)
CdTcW2: PBEsol geometry, meta-GGA SCAN.

The structure belongs to space group P2/m (No. 10); the cell edges are 4.991, 2.727 and 5.033 Å and the angles 90.00°, 111.93° and 90.00°. The asymmetric unit holds Cd at (0.000, 0.000, 0.000), Tc at (0.500, 0.500, 0.000), W at (0.000, 0.500, 0.500) and W at (0.500, 0.000, 0.500).

The formation energy is 56.8 kJ/mol of atoms. The crystal system is monoclinic. The volume comes out at 15.886 Å³/atom.

---

(4)
CdTcW2: PBEsol geometry, meta-GGA SCAN.

The structure belongs to space group Pm (No. 6); the cell edges are 2.704, 4.395 and 5.507 Å and the angles 90.00°, 102.74° and 90.00°. The asymmetric unit holds Cd at (0.000, 0.000, 0.000), Tc at (0.751, 0.500, 0.260), W at (0.308, 0.500, 0.740) and W at (0.548, 0.000, 0.492).

The formation energy is 43.1 kJ/mol of atoms. The crystal system is monoclinic. The volume comes out at 15.958 Å³/atom.

---

(5)
YCd2Tc: PBEsol geometry, meta-GGA SCAN.

The structure belongs to space group Cm (No. 8); the cell edges are 9.884, 3.463 and 4.992 Å and the angles 90.00°, 111.65° and 90.00°. The asymmetric unit holds Y at (0.000, 0.000, 0.000), Cd at (0.032, 0.500, 0.523), Cd at (0.279, 0.500, 0.351) and Tc at (0.258, 0.000, 0.859).

The formation energy is 14.4 kJ/mol of atoms. The crystal system is monoclinic. The volume comes out at 19.849 Å³/atom.

---

(6)
YCdTc2: PBEsol geometry, meta-GGA SCAN.

The structure belongs to space group P2/m (No. 10); the cell edges are 3.025, 4.760 and 5.236 Å and the angles 90.00°, 95.13° and 90.00°. The asymmetric unit holds Y at (0.000, 0.000, 0.000), Cd at (0.500, 0.000, 0.500) and Tc at (0.338, 0.500, 0.792).

The formation energy is 34.3 kJ/mol of atoms. The crystal system is monoclinic. The volume comes out at 18.768 Å³/atom.

---

(7)
ZnCdTc2: PBEsol geometry, meta-GGA SCAN.

The structure belongs to space group R-3m (No. 166, hexagonal axes); the cell edges are 2.7517, 2.7517 and 27.5071 Å and the angles 90.00°, 90.00° and 120.00°. The asymmetric unit holds Zn at (0.0000, 0.0000, 0.0000), Cd at (0.0000, 0.0000, 0.5000) and Tc at (0.0000, 0.0000, 0.2547).

The formation energy is 33.8 kJ/mol of atoms. The crystal system is trigonal. The volume comes out at 15.031 Å³/atom. Its energy above the most stable polymorph in this dataset is 0.3245 eV per atom.

---

(8)
ZnCdTc2: PBEsol geometry, meta-GGA SCAN.

The structure belongs to space group P2/m (No. 10); the cell edges are 2.649, 4.474 and 5.223 Å and the angles 90.00°, 103.10° and 90.00°. The asymmetric unit holds Zn at (0.000, 0.000, 0.000), Cd at (0.500, 0.000, 0.500) and Tc at (0.246, 0.500, 0.765).

The formation energy is 33.4 kJ/mol of atoms. The crystal system is monoclinic. The volume comes out at 15.071 Å³/atom. Its energy above the most stable polymorph in this dataset is 0.3197 eV per atom.

---

(9)
ZnCd2Tc: PBEsol geometry, meta-GGA SCAN.

The structure belongs to space group Cmmm (No. 65); the cell edges are 5.567, 8.467 and 2.811 Å and the angles 90.00°, 90.00° and 90.00°. The asymmetric unit holds Zn at (0.000, 0.000, 0.000), Cd at (0.250, 0.250, 0.500) and Tc at (0.000, 0.500, 0.000).

The formation energy is 26.6 kJ/mol of atoms. The crystal system is orthorhombic. The volume comes out at 16.562 Å³/atom.

---

(10)
ZnCd3Tc: PBEsol geometry, meta-GGA SCAN.

The structure belongs to space group Pm-3m (No. 221); the cell edges are 4.790, 4.790 and 4.790 Å and the angles 90.00°, 90.00° and 90.00°. The asymmetric unit holds Zn at (0.000, 0.000, 0.000), Cd at (0.000, 0.000, 0.500) and Tc at (0.500, 0.500, 0.500).

The formation energy is 94.9 kJ/mol of atoms. The crystal system is cubic. The volume comes out at 21.977 Å³/atom.

---

(11)
ZnCdTc2: PBEsol geometry, meta-GGA SCAN.

The structure belongs to space group Cm (No. 8); the cell edges are 8.800, 2.760 and 5.013 Å and the angles 90.00°, 97.22° and 90.00°. The asymmetric unit holds Zn at (0.000, 0.000, 0.000), Cd at (0.247, 0.000, 0.774), Tc at (0.245, 0.500, 0.278) and Tc at (0.494, 0.000, 0.462).

The formation energy is 24.4 kJ/mol of atoms. The crystal system is monoclinic. The volume comes out at 15.097 Å³/atom. Its energy above the most stable polymorph in this dataset is 0.2267 eV per atom.

---

(12)
ZnCdTc2: PBEsol geometry, meta-GGA SCAN.

The structure belongs to space group P4mm (No. 99); the cell edges are 2.934, 2.934 and 7.135 Å and the angles 90.00°, 90.00° and 90.00°. The asymmetric unit holds Zn at (0.000, 0.000, 0.000), Cd at (0.500, 0.500, 0.273), Tc at (0.000, 0.000, 0.561) and Tc at (0.500, 0.500, 0.762).

The formation energy is 2.5 kJ/mol of atoms. The crystal system is tetragonal. The volume comes out at 15.356 Å³/atom. Its energy above the most stable polymorph in this dataset is 0.0000 eV per atom.

---

Please write out number 10 again, unchanged.
ZnCd3Tc: PBEsol geometry, meta-GGA SCAN.

The structure belongs to space group Pm-3m (No. 221); the cell edges are 4.790, 4.790 and 4.790 Å and the angles 90.00°, 90.00° and 90.00°. The asymmetric unit holds Zn at (0.000, 0.000, 0.000), Cd at (0.000, 0.000, 0.500) and Tc at (0.500, 0.500, 0.500).

The formation energy is 94.9 kJ/mol of atoms. The crystal system is cubic. The volume comes out at 21.977 Å³/atom.